A relaxed SrCaHo2Tl4 crystal. Source: Alexandria, functional PBE.

Unit cell a=5.4844 b=5.4844 c=26.9532 alpha=90.00 beta=90.00 gamma=120.00
Closest atoms and distances in Å follow each position.
Space group R-3m (No. 166, hexagonal axes)
Unique sites:
Sr 0.0000 0.0000 0.0000 (multiplicity 3)  8 Tl 3.38-3.41
Ca 0.0000 0.0000 0.5000 (multiplicity 3)  8 Tl 3.32-3.35
Ho 0.0000 0.0000 0.2484 (multiplicity 6)  8 Tl 3.28-3.47
Tl 0.0000 0.0000 0.1266 (multiplicity 6)  4 Ho 3.28-3.36, 3 Ca 3.35, 1 Sr 3.41
Tl 0.0000 0.0000 0.3770 (multiplicity 6)  1 Ca 3.32, 4 Ho 3.36-3.47, 3 Sr 3.38

Calculated values
Its total energy is -3.1226 eV per atom. The formation enthalpy at 0 K is -0.335 eV per atom.